Entry 1:
## PmYHo5Th2 (GGA-PBE)

Data for a relaxed structure of PmYHo5Th2.

Values from the calculation:
Energy relative to the elements = 0.335 eV per atom
Uncorrected energy = -91.85 eV/cell

Cell and atoms, written as POSCAR:
```
PmYHo5Th2
1.0
-4.4221 4.4221 7.6228
4.4221 -4.4221 7.6228
4.4221 4.4221 -7.6228
Pm Y Ho Th
2 2 10 4
direct
0.2500 0.2500 0.0000
0.7500 0.7500 0.0000
0.2500 0.7500 0.5000
0.7500 0.2500 0.5000
0.0000 0.0000 0.0000
0.0712 0.5712 0.9181
0.1531 0.0712 0.5000
0.3469 0.8469 0.9181
0.4288 0.3469 0.5000
0.5000 0.5000 0.0000
0.5712 0.6531 0.5000
0.6531 0.1531 0.0819
0.8469 0.9288 0.5000
0.9288 0.4288 0.0819
0.1187 0.3813 0.5000
0.3813 0.8813 0.2625
0.6187 0.1187 0.7375
0.8813 0.6187 0.5000
```

***

Entry 2:
## Pm2Y6Ho2Th (GGA-PBE)

Data for a relaxed structure of Pm2Y6Ho2Th.

Values from the calculation:
Energy relative to the elements = 0.145 eV per atom
Uncorrected energy = -63.26 eV/cell

Cell and atoms, written as POSCAR:
```
Pm2Y6Ho2Th
1.0
2.8506 -6.0112 0.0000
2.8506 6.0112 0.0000
0.0000 0.0000 10.6724
Pm Y Ho Th
2 6 2 1
direct
0.1360 0.8640 0.0000
0.8640 0.1360 0.0000
0.0000 0.0000 0.2903
0.0000 0.0000 0.7097
0.3479 0.6521 0.2134
0.3479 0.6521 0.7866
0.6521 0.3479 0.2134
0.6521 0.3479 0.7866
0.2012 0.7988 0.5000
0.7988 0.2012 0.5000
0.5000 0.5000 0.5000
```

***

Entry 3:
## Pm3Y6HoTh2 (GGA-PBE)

Data for a relaxed structure of Pm3Y6HoTh2.

Values from the calculation:
Energy relative to the elements = 0.019 eV per atom
Uncorrected energy = -72.23 eV/cell

Cell and atoms, written as POSCAR:
```
Pm3Y6HoTh2
1.0
3.1120 -5.3870 0.0000
3.1120 5.3870 0.0000
-2.0768 0.0000 11.6571
Pm Y Ho Th
3 6 1 2
direct
0.0000 0.0000 0.0000
0.3336 0.6664 0.0000
0.6664 0.3336 0.0000
0.0811 0.4183 0.2548
0.2446 0.2446 0.7458
0.4183 0.0811 0.2548
0.5817 0.9189 0.7452
0.7554 0.7554 0.2542
0.9189 0.5817 0.7452
0.5000 0.5000 0.5000
0.1665 0.8335 0.5000
0.8335 0.1665 0.5000
```

***

Entry 4:
## PmYHo3Th (GGA-PBE)

Data for a relaxed structure of PmYHo3Th.

Values from the calculation:
Energy relative to the elements = 0.126 eV per atom
Uncorrected energy = -63.23 eV/cell

Cell and atoms, written as POSCAR:
```
PmYHo3Th
1.0
2.9303 -5.5999 0.0000
2.9303 5.5999 0.0000
0.0000 0.0000 11.7281
Pm Y Ho Th
2 2 6 2
direct
0.0030 0.9970 0.7500
0.9970 0.0030 0.2500
0.3311 0.6689 0.7500
0.6689 0.3311 0.2500
0.1767 0.8233 0.0032
0.1767 0.8233 0.4968
0.3339 0.6661 0.2500
0.6661 0.3339 0.7500
0.8233 0.1767 0.5032
0.8233 0.1767 0.9968
0.5000 0.5000 0.0000
0.5000 0.5000 0.5000
```

***

Entry 5:
## Pm3YHo6Th2 (GGA-PBE)

Data for a relaxed structure of Pm3YHo6Th2.

Values from the calculation:
Energy relative to the elements = 0.020 eV per atom
Uncorrected energy = -62.78 eV/cell

Cell and atoms, written as POSCAR:
```
Pm3YHo6Th2
1.0
3.0968 -5.3607 0.0000
3.0968 5.3607 0.0000
-2.0683 0.0000 11.5869
Pm Y Ho Th
3 1 6 2
direct
0.0000 0.0000 0.0000
0.3337 0.6663 0.0000
0.6663 0.3337 0.0000
0.5000 0.5000 0.5000
0.0799 0.4178 0.2541
0.2443 0.2443 0.7463
0.4178 0.0799 0.2541
0.5822 0.9201 0.7459
0.7557 0.7557 0.2537
0.9201 0.5822 0.7459
0.1666 0.8334 0.5000
0.8334 0.1666 0.5000
```

***

Entry 6:
## Pm2YHoTh (GGA-PBE)

Data for a relaxed structure of Pm2YHoTh.

Values from the calculation:
Energy relative to the elements = 0.282 eV per atom
Uncorrected energy = -53.10 eV/cell

Cell and atoms, written as POSCAR:
```
Pm2YHoTh
1.0
6.1535 0.0000 0.0000
0.0000 6.9588 0.0000
0.0000 0.0000 7.9725
Pm Y Ho Th
4 2 2 2
direct
0.2500 0.2236 0.1680
0.2500 0.7764 0.1680
0.7500 0.2236 0.8320
0.7500 0.7764 0.8320
0.2500 0.0000 0.6412
0.7500 0.0000 0.3588
0.0000 0.5000 0.5000
0.5000 0.5000 0.5000
0.2500 0.5000 0.8623
0.7500 0.5000 0.1377
```

***

Entry 7:
## PmY3Ho6Th2 (GGA-PBE)

Data for a relaxed structure of PmY3Ho6Th2.

Values from the calculation:
Energy relative to the elements = 0.030 eV per atom
Uncorrected energy = -66.08 eV/cell

Cell and atoms, written as POSCAR:
```
PmY3Ho6Th2
1.0
3.0889 -5.3451 0.0000
3.0889 5.3451 0.0000
-2.0610 0.0000 11.5677
Pm Y Ho Th
1 3 6 2
direct
0.0000 0.0000 0.0000
0.1663 0.8337 0.5000
0.5000 0.5000 0.5000
0.8337 0.1663 0.5000
0.0832 0.4210 0.2478
0.2548 0.2548 0.7521
0.4210 0.0832 0.2478
0.5790 0.9168 0.7522
0.7452 0.7452 0.2479
0.9168 0.5790 0.7522
0.3333 0.6667 0.0000
0.6667 0.3333 0.0000
```

***

Entry 8:
## PmYHoTh (GGA-PBE)

Data for a relaxed structure of PmYHoTh.

Values from the calculation:
Energy relative to the elements = 0.012 eV per atom
Uncorrected energy = -23.16 eV/cell
Energy above the lowest structure with this stoichiometry = 0 meV/atom

Cell and atoms, written as POSCAR:
```
PmYHoTh
1.0
1.8008 1.0397 11.5524
-1.8008 1.0397 11.5524
0.0000 -2.0794 11.5524
Pm Y Ho Th
1 1 1 1
direct
0.0000 0.0000 0.0000
0.4201 0.4201 0.4201
0.2489 0.2489 0.2489
0.8352 0.8352 0.8352
```

***

Entry 9:
## Pm6Y3Ho2Th (GGA-PBE)

Data for a relaxed structure of Pm6Y3Ho2Th.

Values from the calculation:
Energy relative to the elements = 0.029 eV per atom
Uncorrected energy = -64.12 eV/cell

Cell and atoms, written as POSCAR:
```
Pm6Y3Ho2Th
1.0
3.1242 -5.4068 0.0000
3.1242 5.4068 0.0000
-2.0863 0.0000 11.7609
Pm Y Ho Th
6 3 2 1
direct
0.0833 0.4135 0.7482
0.2466 0.2466 0.2520
0.4135 0.0833 0.7482
0.5865 0.9167 0.2518
0.7534 0.7534 0.7480
0.9167 0.5865 0.2518
0.1670 0.8330 0.0000
0.5000 0.5000 0.0000
0.8330 0.1670 0.0000
0.3334 0.6666 0.5000
0.6666 0.3334 0.5000
0.0000 0.0000 0.5000
```

***

Entry 10:
## PmHoThZr (GGA-PBE)

Data for a relaxed structure of PmHoThZr.

Values from the calculation:
Energy relative to the elements = 0.216 eV per atom
Uncorrected energy = -24.43 eV/cell

Cell and atoms, written as POSCAR:
```
PmHoThZr
1.0
0.0000 3.8947 3.8947
3.8947 0.0000 3.8947
3.8947 3.8947 0.0000
Pm Ho Th Zr
1 1 1 1
direct
0.0000 0.0000 0.0000
0.7500 0.7500 0.7500
0.2500 0.2500 0.2500
0.5000 0.5000 0.5000
```

***

Entry 11:
## PmHo2Ti (GGA-PBE)

Data for a relaxed structure of PmHo2Ti.

Values from the calculation:
Energy relative to the elements = 0.429 eV per atom
Uncorrected energy = -20.09 eV/cell
Energy above the lowest structure with this stoichiometry = 273 meV/atom

Cell and atoms, written as POSCAR:
```
PmHo2Ti
1.0
1.6816 0.9709 11.7856
-1.6816 0.9709 11.7856
0.0000 -1.9418 11.7856
Pm Ho Ti
1 2 1
direct
0.0000 0.0000 0.0000
0.4172 0.4172 0.4172
0.5828 0.5828 0.5828
0.5000 0.5000 0.5000
```

***

Entry 12:
## PmHo2Ti (GGA-PBE)

Data for a relaxed structure of PmHo2Ti.

Values from the calculation:
Energy relative to the elements = 0.156 eV per atom
Uncorrected energy = -21.18 eV/cell
Energy above the lowest structure with this stoichiometry = 0 meV/atom

Cell and atoms, written as POSCAR:
```
PmHo2Ti
1.0
3.3865 0.0000 0.0000
0.0000 3.3865 0.0000
0.0000 0.0000 9.7602
Pm Ho Ti
1 2 1
direct
0.0000 0.0000 0.0000
0.5000 0.5000 0.2868
0.5000 0.5000 0.7132
0.0000 0.0000 0.5000
```